Entry 1:
The following is a SCAN calculation of a PBEsol-optimized structure of ScCr3Co, from Alexandria.

Unit cell a=4.1609 b=4.1609 c=4.1609 alpha=90.00 beta=90.00 gamma=90.00
Last column: nearest neighbours and their distance in Å.
Fractional positions:
Sc  0.0000  0.0000  0.0000  6 Cr 2.08
Cr  0.0000  0.0000  0.5000  2 Sc 2.08
Cr  0.0000  0.5000  0.0000  2 Sc 2.08
Cr  0.5000  0.0000  0.0000  2 Sc 2.08
Co  0.5000  0.5000  0.5000  12 Cr 2.94

Results
density of states at the Fermi level	4.6	states/eV/cell
energy of formation from the pure elements	2.0944	eV per atom



Entry 2:
The following is a SCAN calculation of a PBEsol-optimized structure of BPPdCl2, from Alexandria.

Unit cell a=4.1484 b=4.1484 c=4.3313 alpha=90.00 beta=90.00 gamma=90.00
Last column: nearest neighbours and their distance in Å.
Fractional positions:
B  0.0000  0.0000  0.0000  4 Cl 2.07, 2 P 2.17
P  0.0000  0.0000  0.5000  2 B 2.17
Pd  0.5000  0.5000  0.5000  4 P 2.93, 8 Cl 3.00
Cl  0.0000  0.5000  0.0000  2 B 2.07
Cl  0.5000  0.0000  0.0000  2 B 2.07

Results
density of states at the Fermi level	3.2	states/eV/cell
raw formation energy	3.83	eV per formula unit



Entry 3:
The following is a SCAN calculation of a PBEsol-optimized structure of TaRe2Au, from Alexandria.

Unit cell a=2.6883 b=2.6883 c=8.7702 alpha=90.00 beta=90.00 gamma=90.00
Last column: nearest neighbours and their distance in Å.
Fractional positions:
Ta  0.0000  0.0000  0.0000  4 Ta 2.69, 8 Re 2.92
Re  0.5000  0.5000  0.2524  4 Re 2.69, 4 Au 2.89, 4 Ta 2.92
Re  0.5000  0.5000  0.7476  4 Re 2.69, 4 Au 2.89, 4 Ta 2.92
Au  0.0000  0.0000  0.5000  4 Au 2.69, 8 Re 2.89

Results
density of states at the Fermi level	3.0	states/eV/cell
energy of formation from the pure elements	0.3335	eV per atom



Entry 4:
The following is a SCAN calculation of a PBEsol-optimized structure of LiLa3Hg, from Alexandria.

Unit cell a=5.9461 b=5.9461 c=5.9461 alpha=90.00 beta=90.00 gamma=90.00
Last column: nearest neighbours and their distance in Å.
Fractional positions:
Li  0.0000  0.0000  0.0000  12 La 4.20
La  0.0000  0.5000  0.5000  2 Hg 2.97
La  0.5000  0.0000  0.5000  2 Hg 2.97
La  0.5000  0.5000  0.0000  2 Hg 2.97
Hg  0.5000  0.5000  0.5000  6 La 2.97

Results
density of states at the Fermi level	7.0	states/eV/cell
energy of formation from the pure elements	0.1114	eV per atom



Entry 5:
The following is a SCAN calculation of a PBEsol-optimized structure of KTeF2, from Alexandria.

Unit cell a=4.7613 b=4.7613 c=4.7613 alpha=60.00 beta=60.00 gamma=60.00
Last column: nearest neighbours and their distance in Å.
Fractional positions:
K  0.0000  0.0000  0.0000  8 F 2.92
Te  0.5000  0.5000  0.5000  8 F 2.92
F  0.2500  0.2500  0.2500  4 K 2.92, 4 Te 2.92
F  0.7500  0.7500  0.7500  4 K 2.92, 4 Te 2.92

Results
density of states at the Fermi level	0.0	states/eV/cell
raw formation energy	-5.34	eV per formula unit



Entry 6:
The following is a SCAN calculation of a PBEsol-optimized structure of TaCoRe2, from Alexandria.

Unit cell a=2.6640 b=4.3675 c=5.0243 alpha=90.00 beta=98.97 gamma=90.00
Last column: nearest neighbours and their distance in Å.
Fractional positions:
Ta  0.0000  0.0000  0.0000  2 Co 2.65, 2 Ta 2.66, 4 Re 2.68
Co  0.5000  0.0000  0.5000  4 Re 2.63, 2 Ta 2.65, 2 Co 2.66
Re  0.2502  0.5000  0.7408  4 Re 2.57-2.73, 2 Co 2.63, 2 Ta 2.68
Re  0.7498  0.5000  0.2592  4 Re 2.57-2.73, 2 Co 2.63, 2 Ta 2.68

Results
density of states at the Fermi level	2.8	states/eV/cell
energy of formation from the pure elements	-0.0246	eV per atom



Entry 7:
The following is a SCAN calculation of a PBEsol-optimized structure of Zr2CdP, from Alexandria.

Unit cell a=3.6119 b=3.6119 c=7.5909 alpha=101.96 beta=101.96 gamma=57.98
Last column: nearest neighbours and their distance in Å.
Fractional positions:
Zr  0.2279  0.2279  0.1974  3 P 2.52-2.53
Zr  0.7721  0.7721  0.8026  3 P 2.52-2.53
Cd  0.0000  0.0000  0.5000  6 Zr 2.99-3.07
P  0.5000  0.5000  0.0000  6 Zr 2.52-2.53

Results
density of states at the Fermi level	2.4	states/eV/cell
energy of formation from the pure elements	-0.8345	eV per atom



Entry 8:
The following is a SCAN calculation of a PBEsol-optimized structure of CoAgBr2, from Alexandria.

Unit cell a=7.2978 b=7.2978 c=7.2978 alpha=28.51 beta=28.51 gamma=28.51
Last column: nearest neighbours and their distance in Å.
Fractional positions:
Co  0.0000  0.0000  0.0000  6 Br 2.53
Ag  0.5000  0.5000  0.5000  6 Br 2.91
Br  0.2642  0.2642  0.2642  3 Co 2.53
Br  0.7358  0.7358  0.7358  3 Co 2.53

Results
density of states at the Fermi level	2.3	states/eV/cell
raw formation energy	-0.71	eV per formula unit



Entry 9:
The following is a SCAN calculation of a PBEsol-optimized structure of NaCo2Ge2, from Alexandria.

Unit cell a=5.8016 b=5.8016 c=5.8016 alpha=141.22 beta=141.22 gamma=56.01
Last column: nearest neighbours and their distance in Å.
Fractional positions:
Na  0.0000  0.0000  0.0000  8 Ge 3.02, 8 Co 3.20
Co  0.2500  0.7500  0.5000  4 Ge 2.29
Co  0.7500  0.2500  0.5000  4 Ge 2.29
Ge  0.3717  0.3717  0.0000  4 Co 2.29
Ge  0.6283  0.6283  0.0000  4 Co 2.29

Results
density of states at the Fermi level	3.0	states/eV/cell
energy of formation from the pure elements	-0.1072	eV per atom



Entry 10:
The following is a SCAN calculation of a PBEsol-optimized structure of Be2BH3O5, from Alexandria.

Unit cell a=4.4323 b=4.4323 c=10.5330 alpha=91.95 beta=91.95 gamma=59.68
Last column: nearest neighbours and their distance in Å.
Fractional positions:
Be  0.0015  0.9985  0.5000  4 O 1.62-1.64
Be  0.6579  0.6630  0.3954  4 O 1.61-1.65
Be  0.6630  0.6579  0.8954  4 O 1.61-1.65
Be  0.9985  0.0015  0.0000  4 O 1.62-1.64
B  0.3302  0.3317  0.4458  3 O 1.37
B  0.3317  0.3302  0.9458  3 O 1.37
H  0.3833  0.8005  0.2016  1 O 1.04
H  0.4091  0.7749  0.6994  1 O 1.05
H  0.7749  0.4091  0.1994  1 O 1.05
H  0.8005  0.3833  0.7016  1 O 1.04
H  0.8796  0.9026  0.1876  1 O 0.99
H  0.9026  0.8796  0.6876  1 O 0.99
O  0.0190  0.6423  0.4428  1 B 1.37
O  0.0221  0.3304  0.9472  1 B 1.37
O  0.0228  0.9962  0.6537  1 H 0.99
O  0.3304  0.0221  0.4472  1 B 1.37
O  0.3319  0.6399  0.9472  1 B 1.37
O  0.6385  0.6627  0.2382  2 H 1.04-1.05
O  0.6399  0.3319  0.4472  1 B 1.37
O  0.6423  0.0190  0.9428  1 B 1.37
O  0.6627  0.6385  0.7382  2 H 1.04-1.05
O  0.9962  0.0228  0.1537  1 H 0.99

Results
density of states at the Fermi level	0.0	states/eV/cell



Entry 11:
The following is a SCAN calculation of a PBEsol-optimized structure of La2TlAg, from Alexandria.

Unit cell a=5.4279 b=5.4279 c=5.4279 alpha=60.00 beta=60.00 gamma=60.00
Last column: nearest neighbours and their distance in Å.
Fractional positions:
La  0.2500  0.2500  0.2500  4 Ag 3.32, 4 Tl 3.32
La  0.7500  0.7500  0.7500  4 Ag 3.32, 4 Tl 3.32
Tl  0.0000  0.0000  0.0000  8 La 3.32
Ag  0.5000  0.5000  0.5000  8 La 3.32

Results
density of states at the Fermi level	2.9	states/eV/cell
energy of formation from the pure elements	-0.4996	eV per atom



Entry 12:
The following is a SCAN calculation of a PBEsol-optimized structure of CsTlCl3, from Alexandria.

Unit cell a=7.7844 b=7.7844 c=7.7844 alpha=60.00 beta=60.00 gamma=60.00
Last column: nearest neighbours and their distance in Å.
Fractional positions:
Cs  0.2500  0.2500  0.2500  12 Cl 3.90
Cs  0.7500  0.7500  0.7500  12 Cl 3.90
Tl  0.0000  0.0000  0.0000  6 Cl 2.60
Tl  0.5000  0.5000  0.5000  6 Cl 2.91
Cl  0.2361  0.2361  0.7639  2 Tl 2.60-2.91
Cl  0.2361  0.7639  0.2361  2 Tl 2.60-2.91
Cl  0.2361  0.7639  0.7639  2 Tl 2.60-2.91
Cl  0.7639  0.2361  0.2361  2 Tl 2.60-2.91
Cl  0.7639  0.2361  0.7639  2 Tl 2.60-2.91
Cl  0.7639  0.7639  0.2361  2 Tl 2.60-2.91

Results
raw formation energy	-7.32	eV per formula unit



In μB per atom, the spin magnetization values for the records above are, in order, 1.504 0.000 0.000 0.540 0.750 0.513 0.000 0.501 0.000 0.000 0.044 0.000.
In eV/f.u., the DFT total energy values for the records above are, in order, -76.2 -62.7 -276.6 -199.3 -58.0 -226.2 -105.5 -88.3 -77.5 -81.4 -191.9 -141.4.